[1]
Density functional theory data (GGA-PBE) for CeDy2Sn after structural relaxation.

The calculation puts the formation energy at -0.39 eV/atom. The calculation puts the offset from the most stable computed form at 0 kJ/mol of formula units.

It has space group P4/mmm (No. 123), with a = 4.872 Å, b = 4.872 Å, c = 4.643 Å, α = 90.00°, β = 90.00° and γ = 90.00°. The inequivalent atoms are Ce at (0.000, 0.000, 0.000), Dy at (0.000, 0.500, 0.500) and Sn at (0.500, 0.500, 0.000).


[2]
Density functional theory data (GGA-PBE) for ErInP2Rh5 after structural relaxation.

The calculation puts the formation energy at -0.61 eV/atom.

It has space group P4/mmm (No. 123), with a = 4.024 Å, b = 4.024 Å, c = 10.270 Å, α = 90.00°, β = 90.00° and γ = 90.00°. The inequivalent atoms are Er at (0.000, 0.000, 0.000), In at (0.000, 0.000, 0.500), P at (0.500, 0.500, 0.219), Rh at (0.000, 0.500, 0.318) and Rh at (0.500, 0.500, 0.000).


[3]
Density functional theory data (GGA-PBE) for CeNd2H after structural relaxation.

The calculation puts the offset from the most stable computed form at 39 kJ/mol of formula units.

It has space group P4/mmm (No. 123), with a = 3.358 Å, b = 3.358 Å, c = 8.639 Å, α = 90.00°, β = 90.00° and γ = 90.00°. The inequivalent atoms are Ce at (0.000, 0.000, 0.000), Nd at (0.500, 0.500, 0.310) and H at (0.000, 0.000, 0.500).


[4]
Density functional theory data (GGA-PBE) for Dy3HoPd after structural relaxation.

The calculation puts the formation energy at -0.36 eV/atom. The calculation puts the offset from the most stable computed form at 0 kJ/mol of formula units.

It has space group Cm (No. 8), with a = 12.186 Å, b = 3.700 Å, c = 13.763 Å, α = 90.00°, β = 115.45° and γ = 90.00°. The inequivalent atoms are Dy at (0.000, 0.000, 0.000), Dy at (0.027, 0.000, 0.365), Dy at (0.172, 0.500, 0.235), Dy at (0.199, 0.500, 0.601), Dy at (0.351, 0.000, 0.471), Dy at (0.465, 0.000, 0.762), Ho at (0.234, 0.000, 0.840), Ho at (0.348, 0.000, 0.129), Pd at (0.016, 0.000, 0.624) and Pd at (0.185, 0.500, 0.977).


[5]
Density functional theory data (GGA-PBE) for TaCoTe2 after structural relaxation.

The energy is -0.4692 Ry per atom.

It has space group Immm (No. 71), with a = 3.538 Å, b = 3.958 Å, c = 14.836 Å, α = 90.00°, β = 90.00° and γ = 90.00°. The inequivalent atoms are Ta at (0.000, 0.000, 0.000), Co at (0.000, 0.000, 0.500) and Te at (0.000, 0.500, 0.134).


[6]
Density functional theory data (GGA-PBE) for PmNd5Sc2 after structural relaxation.

The calculation puts the formation energy at 0.14 eV/atom. The calculation puts the offset from the most stable computed form at 83 kJ/mol of formula units.

It has space group I4/mcm (No. 140), with a = 9.185 Å, b = 9.185 Å, c = 12.434 Å, α = 90.00°, β = 90.00° and γ = 90.00°. The inequivalent atoms are Pm at (0.000, 0.000, 0.250), Nd at (0.000, 0.000, 0.000), Nd at (0.146, 0.354, 0.158) and Sc at (0.153, 0.347, 0.500).


[7]
Density functional theory data (GGA-PBE) for SrCdBiF after structural relaxation.

The energy is -0.2770 Ry per atom.

It has space group P4/nmm (No. 129, origin choice 2), with a = 4.570 Å, b = 4.570 Å, c = 9.755 Å, α = 90.00°, β = 90.00° and γ = 90.00°. The inequivalent atoms are Sr at (0.250, 0.250, 0.126), Cd at (0.250, 0.750, 0.500), Bi at (0.250, 0.250, 0.703) and F at (0.250, 0.750, 0.000).


[8]
Density functional theory data (GGA-PBE) for PaCuBi2O6 after structural relaxation.

The energy is -0.5090 Ry per atom.

It has space group P1 (No. 1), with a = 5.879 Å, b = 6.046 Å, c = 6.316 Å, α = 62.74°, β = 63.57° and γ = 62.68°. The inequivalent atoms are Pa at (0.000, 0.000, 0.000), Cu at (0.704, 0.443, 0.308), Bi at (0.314, 0.305, 0.075), Bi at (0.778, 0.783, 0.625), O at (0.074, 0.372, 0.812), O at (0.188, 0.932, 0.249), O at (0.371, 0.735, 0.812), O at (0.628, 0.183, 0.289), O at (0.704, 0.100, 0.828) and O at (0.875, 0.648, 0.292).


[9]
Density functional theory data (GGA-PBE) for CdFe2W2 after structural relaxation.

The calculation puts the formation energy at 0.31 eV/atom.

It has space group P4/mbm (No. 127), with a = 7.264 Å, b = 7.264 Å, c = 2.779 Å, α = 90.00°, β = 90.00° and γ = 90.00°. The inequivalent atoms are Cd at (0.000, 0.000, 0.000), Fe at (0.130, 0.370, 0.000) and W at (0.160, 0.660, 0.500).


[10]
Density functional theory data (GGA-PBE) for Ho3Tm7Sc after structural relaxation.

The calculation puts the formation energy at 0.20 eV/atom. The calculation puts the offset from the most stable computed form at 35 kJ/mol of formula units.

It has space group P3m1 (No. 156), with a = 6.8971 Å, b = 6.8971 Å, c = 8.4275 Å, α = 90.00°, β = 90.00° and γ = 120.00°. The inequivalent atoms are Ho at (0.0015, 0.5008, 0.0000), Tm at (0.1684, 0.3368, 0.3400), Tm at (0.3357, 0.1678, 0.6669), Tm at (0.6667, 0.3333, 0.3382) and Sc at (0.3333, 0.6667, 0.6651).


[11]
Density functional theory data (GGA-PBE) for Ta12CrGa6 after structural relaxation.

The calculation puts the formation energy at -0.02 eV/atom.

It has space group R-3 (No. 148, hexagonal axes), with a = 9.6890 Å, b = 9.6890 Å, c = 12.0124 Å, α = 90.00°, β = 90.00° and γ = 120.00°. The inequivalent atoms are Ta at (0.0479, 0.1835, 0.3118), Ta at (0.0722, 0.8439, 0.9168), Cr at (0.0000, 0.0000, 0.5000) and Ga at (0.0348, 0.4460, 0.2073).


[12]
Density functional theory data (GGA-PBE) for RbNaV3 after structural relaxation.

The calculation puts the formation energy at 2.04 eV/atom. The calculation puts the offset from the most stable computed form at 0 kJ/mol of formula units.

It has space group Pm-3m (No. 221), with a = 5.420 Å, b = 5.420 Å, c = 5.420 Å, α = 90.00°, β = 90.00° and γ = 90.00°. The inequivalent atoms are Rb at (0.000, 0.000, 0.000), Na at (0.500, 0.500, 0.500) and V at (0.000, 0.500, 0.500).


| no. | mass density (Mg/m³) |
| --- | --- |
| 1 | 8.8 |
| 2 | 8.6 |
| 3 | 7.3 |
| 4 | 9.0 |
| 5 | 7.9 |
| 6 | 6.1 |
| 7 | 7.0 |
| 8 | 7.9 |
| 9 | 13.4 |
| 10 | 8.2 |
| 11 | 13.5 |
| 12 | 2.7 |